1.
Pm2SmEr7: relaxed, PBE.

a = 3.509 Å, b = 14.716 Å, c = 14.716 Å
α = 154.66°, β = 90.00°, γ = 90.00°
Sites, in units of the cell vectors:
Er  0.500  0.149  0.346
Er  0.000  0.185  0.815
Er  0.500  0.851  0.654
Er  0.500  0.654  0.851
Er  0.500  0.346  0.149
Er  0.000  0.815  0.185
Er  0.500  0.500  0.500
Pm  0.500  0.292  0.708
Pm  0.500  0.708  0.292
Sm  0.000  0.000  0.000

Properties
SG = No. 65
offset from the most stable computed form = 145 meV/atom

2.
ScAlZnHg: relaxed, PBE.

a = 4.736 Å, b = 4.736 Å, c = 4.736 Å
α = 60.00°, β = 60.00°, γ = 60.00°
Sites, in units of the cell vectors:
Hg  0.500  0.500  0.500
Zn  0.000  0.000  0.000
Al  0.750  0.750  0.750
Sc  0.250  0.250  0.250

Properties
SG = No. 216
offset from the most stable computed form = 75 meV/atom

3.
HfAsSe2Cl: relaxed, PBE.

a = 5.126 Å, b = 4.620 Å, c = 5.126 Å
α = 90.00°, β = 90.00°, γ = 90.00°
Site moments in Bohr magnetons follow the coordinates.
Sites, in units of the cell vectors:
Se  0.500  0.000  0.000  -0.05
Se  0.000  0.000  0.500  -0.05
Cl  0.000  0.500  0.000  0.01
As  0.000  0.000  0.000  0.06
Hf  0.500  0.500  0.500  0.98

Properties
SG = No. 123
offset from the most stable computed form = 499 meV/atom
energy relative to the elements, uncorrected = 0.35 eV per atom

4.
SbTe2N: relaxed, PBE.

a = 6.962 Å, b = 6.962 Å, c = 6.451 Å
α = 57.35°, β = 57.35°, γ = 90.00°
Sites, in units of the cell vectors:
Te  0.875  0.785  0.750
Te  0.375  0.465  0.750
Te  0.535  0.125  0.250
Te  0.215  0.625  0.250
N  0.500  0.500  0.000
N  0.250  0.750  0.500
Sb  0.750  0.250  0.500
Sb  0.000  0.000  0.000

Properties
SG = No. 122
offset from the most stable computed form = 0 meV/atom
energy relative to the elements, uncorrected = 0.74 eV per atom

5.
TiHPtRh2: relaxed, PBE.

a = 3.898 Å, b = 3.898 Å, c = 3.998 Å
α = 90.00°, β = 90.00°, γ = 90.00°
Sites, in units of the cell vectors:
H  0.000  0.000  0.000
Ti  0.000  0.000  0.500
Rh  0.500  0.000  0.000
Rh  0.000  0.500  0.000
Pt  0.500  0.500  0.500

Properties
SG = No. 123
offset from the most stable computed form = 0 meV/atom

6.
Ca2NdNpO6: relaxed, PBE.

a = 5.916 Å, b = 5.916 Å, c = 6.150 Å
α = 61.25°, β = 61.25°, γ = 60.00°
Site moments in Bohr magnetons follow the coordinates.
Sites, in units of the cell vectors:
Ca  0.026  0.026  0.922  0.00
Ca  0.533  0.533  0.401  0.00
O  0.591  0.202  0.251  -0.04
O  0.682  0.123  0.773  -0.04
O  0.422  0.682  0.773  -0.04
O  0.955  0.591  0.251  -0.04
O  0.123  0.422  0.773  -0.04
O  0.202  0.955  0.251  -0.04
Nd  0.809  0.809  0.574  0.00
Np  0.318  0.318  0.047  2.20

Properties
SG = No. 146
energy relative to the elements, uncorrected = -3.09 eV per atom

| no. | total moment (μB/f.u.) |
| --- | --- |
| 1 | 0.00 |
| 2 | 0.00 |
| 3 | 1.53 |
| 4 | 0.00 |
| 5 | 0.00 |
| 6 | 2.00 |